# PmBeF5, optimized geometry, DFT PBE-GGA
data_PmBeF5
_space_group_name_H-M_alt 'C 1 2/c 1'
_space_group_IT_number 15
_cell_length_a 8.326
_cell_length_b 7.993
_cell_length_c 8.363
_cell_angle_alpha 90.00
_cell_angle_beta 117.61
_cell_angle_gamma 90.00
loop_
_space_group_symop_operation_xyz
'x,y,z'
'-x,-y,-z'
'-x,y,-z+1/2'
'x,-y,z+1/2'
'x+1/2,y+1/2,z'
'-x+1/2,-y+1/2,-z'
'-x+1/2,y+1/2,-z+1/2'
'x+1/2,-y+1/2,z+1/2'
loop_
_atom_site_label
_atom_site_fract_x
_atom_site_fract_y
_atom_site_fract_z
Pm1 0.250 0.250 0.000
Be1 0.000 0.128 0.250
F1 0.000 0.334 0.750
F2 0.086 0.237 0.155
F3 0.151 0.013 0.394
# ΔE_f (raw) ... -26.0 eV per formula unit
# Magnetic moment ... 0.00 μB per formula unit
# Calculated total energy ... -43.8 eV per formula unit